Compound: CsAl2Ag2
Source: the Alexandria database
Functional: PBE
Structure: relaxed

a = 8.9225 Å, b = 8.9225 Å, c = 3.0417 Å
α = 90.00°, β = 90.00°, γ = 90.00°
With the nearest neighbours (Å) after each atom.
Element x y z (fractional)
Cs  0.0000  0.0000  0.0000  2 Cs 3.04, 4 Ag 3.40
Cs  0.5000  0.5000  0.0000  2 Cs 3.04, 4 Ag 3.40
Al  0.1208  0.6208  0.5000  4 Ag 2.86, 3 Al 3.04-3.05
Al  0.6208  0.8792  0.5000  4 Ag 2.86, 3 Al 3.04-3.05
Al  0.8792  0.3792  0.5000  4 Ag 2.86, 3 Al 3.04-3.05
Al  0.3792  0.1208  0.5000  4 Ag 2.86, 3 Al 3.04-3.05
Ag  0.3511  0.8511  0.0000  4 Al 2.86, 2 Ag 3.04
Ag  0.8511  0.6489  0.0000  4 Al 2.86, 2 Ag 3.04
Ag  0.6489  0.1489  0.0000  4 Al 2.86, 2 Ag 3.04
Ag  0.1489  0.3511  0.0000  4 Al 2.86, 2 Ag 3.04

Its formation energy is 0.252 eV/atom. Its crystal system is tetragonal. The space-group type is No. 127. The value obtained for the excess energy over the best structure of this formula in the dataset is 0.66 eV per formula unit.